Computed, not measured: a geometry-optimized Ca6Cd3In structure at the GGA-PBE level of DFT.

Output
Calculated volume   612.1 Å³/cell
Calculated formation energy   -0.303 eV/atom
Space-group type   P2_1/m, No. 11

Unit cell a=5.542 b=9.625 c=12.005 alpha=107.07 beta=90.00 gamma=90.00
Fractional coordinates of all 20 atoms:
Cd  0.250  0.546  0.391
Ca  0.250  0.847  0.317
Ca  0.250  0.237  0.507
Cd  0.250  0.770  0.972
Ca  0.750  0.763  0.493
Ca  0.750  0.851  0.808
In  0.250  0.934  0.617
Ca  0.250  0.091  0.890
In  0.750  0.066  0.383
Ca  0.750  0.521  0.905
Cd  0.250  0.364  0.791
Ca  0.750  0.372  0.322
Ca  0.750  0.153  0.683
Ca  0.750  0.909  0.110
Ca  0.250  0.628  0.678
Ca  0.250  0.149  0.192
Cd  0.750  0.454  0.609
Cd  0.750  0.230  0.028
Ca  0.250  0.479  0.095
Cd  0.750  0.636  0.209